--- w ---
The following is a GGA-PBE calculation of a relaxed structure of TaAs2SeCl, from Alexandria.

a = 4.678 Å, b = 4.678 Å, c = 4.902 Å
α = 90.00°, β = 90.00°, γ = 90.00°
Fractional coordinates of all 5 atoms:
As: 0.500 0.000 0.000
As: 0.000 0.500 0.000
Cl: 0.000 0.000 0.000
Se: 0.000 0.000 0.500
Ta: 0.500 0.500 0.500

=====

--- x ---
The following is a GGA-PBE calculation of a relaxed structure of TaAs2SeCl, from Alexandria.

a = 5.055 Å, b = 5.055 Å, c = 4.911 Å
α = 90.00°, β = 90.00°, γ = 90.00°
Fractional coordinates of all 5 atoms:
Cl: 0.500 0.500 0.500
As: 0.000 0.500 0.000
As: 0.500 0.000 0.000
Ta: 0.000 0.000 0.000
Se: 0.000 0.000 0.500

=====

Which structure is most stable? x, by 1175 meV per atom over the runner-up.

=====

--- w ---
The following is a GGA-PBE calculation of a relaxed structure of TiAsSe2Cl, from Alexandria.

a = 4.828 Å, b = 4.828 Å, c = 5.130 Å
α = 90.00°, β = 90.00°, γ = 90.00°
Fractional coordinates of all 5 atoms:
Ti: 0.000 0.000 0.000
Cl: 0.500 0.500 0.500
Se: 0.500 0.000 0.000
Se: 0.000 0.500 0.000
As: 0.000 0.000 0.500

=====

--- x ---
The following is a GGA-PBE calculation of a relaxed structure of TiAsSe2Cl, from Alexandria.

a = 4.957 Å, b = 4.957 Å, c = 4.701 Å
α = 90.00°, β = 90.00°, γ = 90.00°
Fractional coordinates of all 5 atoms:
Cl: 0.000 0.000 0.000
Se: 0.500 0.000 0.000
Se: 0.000 0.500 0.000
Ti: 0.500 0.500 0.500
As: 0.000 0.000 0.500

=====

Which structure is most stable? w, by 1017 meV per atom over the runner-up.

=====

--- w ---
The following is a GGA-PBE calculation of a relaxed structure of TlAs2SeCl, from Alexandria.

a = 4.992 Å, b = 4.992 Å, c = 5.430 Å
α = 90.00°, β = 90.00°, γ = 90.00°
Fractional coordinates of all 5 atoms:
As: 0.500 0.000 0.000
As: 0.000 0.500 0.000
Tl: 0.500 0.500 0.500
Se: 0.000 0.000 0.500
Cl: 0.000 0.000 0.000

=====

--- x ---
The following is a GGA-PBE calculation of a relaxed structure of TlAs2SeCl, from Alexandria.

a = 5.457 Å, b = 5.457 Å, c = 5.330 Å
α = 90.00°, β = 90.00°, γ = 90.00°
Fractional coordinates of all 5 atoms:
As: 0.000 0.500 0.000
As: 0.500 0.000 0.000
Cl: 0.500 0.500 0.500
Tl: 0.000 0.000 0.000
Se: 0.000 0.000 0.500

=====

Which structure is most stable? w, by 228 meV per atom over the runner-up.

=====

--- w ---
The following is a GGA-PBE calculation of a relaxed structure of VAs2SeCl, from Alexandria.

a = 4.738 Å, b = 4.738 Å, c = 4.985 Å
α = 90.00°, β = 90.00°, γ = 90.00°
Fractional coordinates of all 5 atoms:
V: 0.500 0.500 0.500
Cl: 0.000 0.000 0.000
Se: 0.000 0.000 0.500
As: 0.500 0.000 0.000
As: 0.000 0.500 0.000

=====

--- x ---
The following is a GGA-PBE calculation of a relaxed structure of VAs2SeCl, from Alexandria.

a = 4.802 Å, b = 4.802 Å, c = 4.664 Å
α = 90.00°, β = 90.00°, γ = 90.00°
Fractional coordinates of all 5 atoms:
Se: 0.000 0.000 0.500
As: 0.500 0.000 0.000
As: 0.000 0.500 0.000
V: 0.000 0.000 0.000
Cl: 0.500 0.500 0.500

=====

Which structure is most stable? x, by 1227 meV per atom over the runner-up.

=====

--- w ---
The following is a GGA-PBE calculation of a relaxed structure of SiAsCl2, from Alexandria.

a = 9.387 Å, b = 9.387 Å, c = 9.387 Å
α = 19.41°, β = 19.41°, γ = 19.41°
Fractional coordinates of all 4 atoms:
Si: 0.000 0.000 0.000
As: 0.500 0.500 0.500
Cl: 0.084 0.084 0.084
Cl: 0.916 0.916 0.916

=====

--- x ---
The following is a GGA-PBE calculation of a relaxed structure of SiAsCl2, from Alexandria.

a = 4.746 Å, b = 4.746 Å, c = 4.746 Å
α = 120.10°, β = 120.10°, γ = 89.83°
Fractional coordinates of all 4 atoms:
Cl: 0.250 0.750 0.500
Cl: 0.000 0.000 0.000
As: 0.750 0.250 0.500
Si: 0.500 0.500 0.000

=====

--- y ---
The following is a GGA-PBE calculation of a relaxed structure of SiAsCl2, from Alexandria.

a = 5.787 Å, b = 5.787 Å, c = 5.707 Å
α = 81.11°, β = 81.11°, γ = 38.85°
Fractional coordinates of all 4 atoms:
Cl: 0.761 0.761 0.673
Cl: 0.988 0.988 0.065
As: 0.152 0.152 0.249
Si: 0.599 0.599 0.513

=====

Which structure is most stable? y, by 499 meV per atom over the runner-up.

=====

--- w ---
The following is a GGA-PBE calculation of a relaxed structure of SiAsCl2, from Alexandria.

a = 5.266 Å, b = 5.266 Å, c = 4.435 Å
α = 66.66°, β = 66.66°, γ = 108.64°
Fractional coordinates of all 4 atoms:
As: 0.000 0.500 0.500
Si: 0.500 0.000 0.500
Cl: 0.000 0.000 0.000
Cl: 0.500 0.500 0.000

=====

--- x ---
The following is a GGA-PBE calculation of a relaxed structure of SiAsCl2, from Alexandria.

a = 12.086 Å, b = 12.086 Å, c = 12.086 Å
α = 16.16°, β = 16.16°, γ = 16.16°
Fractional coordinates of all 4 atoms:
Si: 0.250 0.250 0.250
Cl: 0.536 0.536 0.536
Cl: 0.964 0.964 0.964
As: 0.750 0.750 0.750

=====

Which structure is most stable? w, by 37 meV per atom over the runner-up.

=====

--- w ---
The following is a GGA-PBE calculation of a relaxed structure of Si3AsCl, from Alexandria.

a = 4.777 Å, b = 4.777 Å, c = 4.777 Å
α = 90.00°, β = 90.00°, γ = 90.00°
Fractional coordinates of all 5 atoms:
Si: 0.000 0.500 0.000
Si: 0.000 0.000 0.500
Si: 0.500 0.000 0.000
Cl: 0.000 0.000 0.000
As: 0.500 0.500 0.500

=====

--- x ---
The following is a GGA-PBE calculation of a relaxed structure of Si3AsCl, from Alexandria.

a = 4.990 Å, b = 4.990 Å, c = 4.990 Å
α = 90.00°, β = 90.00°, γ = 90.00°
Fractional coordinates of all 5 atoms:
Si: 0.500 0.000 0.000
Si: 0.000 0.500 0.000
Si: 0.000 0.000 0.500
As: 0.000 0.000 0.000
Cl: 0.500 0.500 0.500

=====

Which structure is most stable? x, by 210 meV per atom over the runner-up.

=====

--- w ---
The following is a GGA-PBE calculation of a relaxed structure of ZnSiAs2Cl, from Alexandria.

a = 4.878 Å, b = 4.658 Å, c = 4.878 Å
α = 90.00°, β = 90.00°, γ = 90.00°
Fractional coordinates of all 5 atoms:
Cl: 0.000 0.500 0.000
Zn: 0.500 0.500 0.500
As: 0.500 0.000 0.000
As: 0.000 0.000 0.500
Si: 0.000 0.000 0.000

=====

--- x ---
The following is a GGA-PBE calculation of a relaxed structure of ZnSiAs2Cl, from Alexandria.

a = 4.795 Å, b = 4.918 Å, c = 4.795 Å
α = 90.00°, β = 90.00°, γ = 90.00°
Fractional coordinates of all 5 atoms:
Cl: 0.500 0.500 0.500
As: 0.000 0.000 0.500
As: 0.500 0.000 0.000
Si: 0.000 0.000 0.000
Zn: 0.000 0.500 0.000

=====

Which structure is most stable? w, by 33 meV per atom over the runner-up.

=====

--- w ---
The following is a GGA-PBE calculation of a relaxed structure of Sn2AsCl2, from Alexandria.

a = 8.310 Å, b = 8.310 Å, c = 3.967 Å
α = 90.00°, β = 90.00°, γ = 90.00°
Fractional coordinates of all 10 atoms:
Sn: 0.296 0.796 0.000
Sn: 0.204 0.296 0.000
Sn: 0.704 0.204 0.000
Sn: 0.796 0.704 0.000
Cl: 0.137 0.637 0.500
Cl: 0.363 0.137 0.500
Cl: 0.637 0.863 0.500
Cl: 0.863 0.363 0.500
As: 0.500 0.500 0.000
As: 0.000 0.000 0.000

=====

--- x ---
The following is a GGA-PBE calculation of a relaxed structure of Sn2AsCl2, from Alexandria.

a = 4.285 Å, b = 4.285 Å, c = 7.586 Å
α = 73.59°, β = 73.59°, γ = 90.00°
Fractional coordinates of all 5 atoms:
Cl: 0.250 0.750 0.500
Cl: 0.750 0.250 0.500
Sn: 0.612 0.612 0.776
Sn: 0.388 0.388 0.224
As: 0.000 0.000 0.000

=====

Which structure is most stable? w, by 142 meV per atom over the runner-up.

=====

--- w ---
The following is a GGA-PBE calculation of a relaxed structure of Sn3AsCl, from Alexandria.

a = 5.390 Å, b = 5.390 Å, c = 5.390 Å
α = 90.00°, β = 90.00°, γ = 90.00°
Fractional coordinates of all 5 atoms:
Sn: 0.000 0.000 0.500
Sn: 0.000 0.500 0.000
Sn: 0.500 0.000 0.000
Cl: 0.000 0.000 0.000
As: 0.500 0.500 0.500

=====

--- x ---
The following is a GGA-PBE calculation of a relaxed structure of Sn3AsCl, from Alexandria.

a = 5.549 Å, b = 5.549 Å, c = 5.549 Å
α = 90.00°, β = 90.00°, γ = 90.00°
Fractional coordinates of all 5 atoms:
Cl: 0.500 0.500 0.500
Sn: 0.000 0.500 0.000
Sn: 0.500 0.000 0.000
Sn: 0.000 0.000 0.500
As: 0.000 0.000 0.000

=====

Which structure is most stable? x, by 242 meV per atom over the runner-up.

=====

--- w ---
The following is a GGA-PBE calculation of a relaxed structure of SnAs2Cl, from Alexandria.

a = 4.921 Å, b = 4.921 Å, c = 4.921 Å
α = 60.00°, β = 60.00°, γ = 60.00°
Fractional coordinates of all 4 atoms:
Cl: 0.000 0.000 0.000
Sn: 0.500 0.500 0.500
As: 0.250 0.250 0.250
As: 0.750 0.750 0.750

=====

--- x ---
The following is a GGA-PBE calculation of a relaxed structure of SnAs2Cl, from Alexandria.

a = 6.810 Å, b = 6.810 Å, c = 7.265 Å
α = 62.05°, β = 62.05°, γ = 90.00°
Fractional coordinates of all 8 atoms:
Cl: 0.250 0.750 0.500
Cl: 0.500 0.500 0.000
As: 0.875 0.889 0.750
As: 0.639 0.125 0.250
As: 0.111 0.625 0.250
As: 0.375 0.361 0.750
Sn: 0.750 0.250 0.500
Sn: 0.000 0.000 0.000

=====

Which structure is most stable? w, by 59 meV per atom over the runner-up.

=====

--- w ---
The following is a GGA-PBE calculation of a relaxed structure of SrAs2Cl, from Alexandria.

a = 6.592 Å, b = 6.592 Å, c = 4.588 Å
α = 80.47°, β = 80.47°, γ = 33.10°
Fractional coordinates of all 4 atoms:
Sr: 0.250 0.250 0.250
As: 0.984 0.984 0.088
As: 0.516 0.516 0.412
Cl: 0.750 0.750 0.750

=====

--- x ---
The following is a GGA-PBE calculation of a relaxed structure of SrAs2Cl, from Alexandria.

a = 4.410 Å, b = 4.410 Å, c = 8.058 Å
α = 73.78°, β = 73.78°, γ = 59.98°
Fractional coordinates of all 4 atoms:
Cl: 0.524 0.524 0.422
As: 0.019 0.019 0.948
As: 0.704 0.704 0.895
Sr: 0.254 0.254 0.236

=====

Which structure is most stable? w, by 10 meV per atom over the runner-up.

=====

--- w ---
The following is a GGA-PBE calculation of a relaxed structure of SrAs2Cl, from Alexandria.

a = 5.712 Å, b = 5.712 Å, c = 5.712 Å
α = 140.03°, β = 113.91°, γ = 80.11°
Fractional coordinates of all 4 atoms:
As: 0.780 0.280 0.500
As: 0.955 0.955 0.000
Sr: 0.265 0.765 0.500
Cl: 0.501 0.501 0.000

=====

--- x ---
The following is a GGA-PBE calculation of a relaxed structure of SrAs2Cl, from Alexandria.

a = 4.057 Å, b = 4.057 Å, c = 13.377 Å
α = 81.28°, β = 81.28°, γ = 90.00°
Fractional coordinates of all 8 atoms:
As: 0.375 0.434 0.750
As: 0.566 0.125 0.250
As: 0.875 0.816 0.750
As: 0.184 0.625 0.250
Sr: 0.000 0.000 0.000
Sr: 0.750 0.250 0.500
Cl: 0.500 0.500 0.000
Cl: 0.250 0.750 0.500

=====

Which structure is most stable? w, by 8 meV per atom over the runner-up.